# 1
First-principles (PBE) data for AcLaPmSm3 after structural relaxation, as listed in Alexandria.

Cell lengths 10.750, 10.750, 7.245 Å; angles 90.48, 90.48, 31.62 degrees
Atoms (fractional coordinates):
Ac (0.147, 0.147, 0.041)
Ac (0.853, 0.853, 0.959)
La (0.143, 0.143, 0.490)
La (0.857, 0.857, 0.510)
Pm (0.447, 0.447, 0.729)
Pm (0.553, 0.553, 0.271)
Sm (0.020, 0.020, 0.747)
Sm (0.281, 0.281, 0.730)
Sm (0.339, 0.339, 0.247)
Sm (0.661, 0.661, 0.753)
Sm (0.719, 0.719, 0.270)
Sm (0.980, 0.980, 0.253)

space group: C2/m (12)
ΔH_f (0 K): 0.205 eV/atom
density of states at the Fermi level: 17.0 states/eV/cell

***

# 2
First-principles (PBE) data for Ac5LaPm2Sm after structural relaxation, as listed in Alexandria.

Cell lengths 10.377, 10.377, 10.377 Å; angles 122.84, 122.84, 85.15 degrees
Atoms (fractional coordinates):
Ac (0.000, 0.000, 0.000)
Ac (0.072, 0.572, 0.907)
Ac (0.165, 0.072, 0.500)
Ac (0.335, 0.835, 0.907)
Ac (0.428, 0.335, 0.500)
Ac (0.500, 0.500, 0.000)
Ac (0.572, 0.665, 0.500)
Ac (0.665, 0.165, 0.093)
Ac (0.835, 0.928, 0.500)
Ac (0.928, 0.428, 0.093)
La (0.250, 0.250, 0.000)
La (0.750, 0.750, 0.000)
Pm (0.105, 0.395, 0.500)
Pm (0.395, 0.895, 0.291)
Pm (0.605, 0.105, 0.709)
Pm (0.895, 0.605, 0.500)
Sm (0.250, 0.750, 0.500)
Sm (0.750, 0.250, 0.500)

space group: I4/mcm (140)
ΔH_f (0 K): 0.284 eV/atom
density of states at the Fermi level: 33.1 states/eV/cell

***

# 3
First-principles (PBE) data for AcLa6PmSm2 after structural relaxation, as listed in Alexandria.

Cell lengths 6.828, 6.828, 10.140 Å; angles 112.83, 112.83, 60.95 degrees
Atoms (fractional coordinates):
Ac (0.000, 0.000, 0.000)
La (0.083, 0.538, 0.670)
La (0.356, 0.356, 0.079)
La (0.462, 0.917, 0.330)
La (0.538, 0.083, 0.670)
La (0.644, 0.644, 0.921)
La (0.917, 0.462, 0.330)
Pm (0.500, 0.500, 0.500)
Sm (0.065, 0.065, 0.690)
Sm (0.935, 0.935, 0.310)

space group: C2/m (12)
ΔH_f (0 K): 0.174 eV/atom
density of states at the Fermi level: 19.5 states/eV/cell

***

# 4
First-principles (PBE) data for Ac2LaPm4Sm after structural relaxation, as listed in Alexandria.

Cell lengths 9.899, 9.899, 7.165 Å; angles 111.08, 111.08, 88.88 degrees
Atoms (fractional coordinates):
Ac (0.000, 0.000, 0.000)
Ac (0.000, 0.000, 0.500)
Ac (0.000, 0.500, 0.000)
Ac (0.500, 0.000, 0.500)
La (0.500, 0.500, 0.000)
La (0.500, 0.500, 0.500)
Pm (0.255, 0.271, 0.513)
Pm (0.260, 0.740, 0.516)
Pm (0.260, 0.740, 0.984)
Pm (0.271, 0.255, 0.013)
Pm (0.729, 0.745, 0.987)
Pm (0.740, 0.260, 0.016)
Pm (0.740, 0.260, 0.484)
Pm (0.745, 0.729, 0.487)
Sm (0.000, 0.500, 0.500)
Sm (0.500, 0.000, 0.000)

space group: C2/c (15)
ΔH_f (0 K): 0.373 eV/atom
density of states at the Fermi level: 35.7 states/eV/cell

***

# 5
First-principles (PBE) data for AcLa2PmSm after structural relaxation, as listed in Alexandria.

Cell lengths 6.565, 6.061, 10.046 Å; angles 90.00, 108.91, 90.00 degrees
Atoms (fractional coordinates):
Ac (0.233, 0.250, 0.301)
Ac (0.767, 0.750, 0.699)
La (0.371, 0.750, 0.910)
La (0.423, 0.250, 0.701)
La (0.577, 0.750, 0.299)
La (0.629, 0.250, 0.090)
Pm (0.036, 0.250, 0.899)
Pm (0.964, 0.750, 0.101)
Sm (0.163, 0.750, 0.504)
Sm (0.837, 0.250, 0.496)

space group: P2_1/m (11)
ΔH_f (0 K): 0.043 eV/atom
density of states at the Fermi level: 17.8 states/eV/cell

***

# 6
First-principles (PBE) data for AcLaPm3Sm after structural relaxation, as listed in Alexandria.

Cell lengths 8.308, 5.277, 10.533 Å; angles 90.00, 108.69, 90.00 degrees
Atoms (fractional coordinates):
Ac (0.000, 0.250, 0.131)
Ac (0.000, 0.750, 0.869)
La (0.338, 0.750, 0.707)
La (0.662, 0.250, 0.293)
Pm (0.334, 0.250, 0.461)
Pm (0.338, 0.750, 0.213)
Pm (0.340, 0.250, 0.958)
Pm (0.660, 0.750, 0.042)
Pm (0.662, 0.250, 0.787)
Pm (0.666, 0.750, 0.539)
Sm (0.002, 0.250, 0.619)
Sm (0.998, 0.750, 0.381)

space group: P2_1/m (11)
ΔH_f (0 K): 0.030 eV/atom
density of states at the Fermi level: 20.3 states/eV/cell

***

# 7
First-principles (PBE) data for AcLaPm2Sm after structural relaxation, as listed in Alexandria.

Cell lengths 7.452, 7.452, 7.370 Å; angles 90.00, 90.00, 109.93 degrees
Atoms (fractional coordinates):
Ac (0.242, 0.758, 0.750)
Ac (0.758, 0.242, 0.250)
La (0.475, 0.525, 0.250)
La (0.525, 0.475, 0.750)
Pm (0.188, 0.188, 0.000)
Pm (0.188, 0.188, 0.500)
Pm (0.812, 0.812, 0.000)
Pm (0.812, 0.812, 0.500)
Sm (0.213, 0.787, 0.250)
Sm (0.787, 0.213, 0.750)

space group: Cmcm (63)
ΔH_f (0 K): 0.318 eV/atom
density of states at the Fermi level: 15.0 states/eV/cell

***

# 8
First-principles (PBE) data for AcLaPm5Sm2 after structural relaxation, as listed in Alexandria.

Cell lengths 10.160, 10.160, 10.160 Å; angles 126.47, 126.47, 79.11 degrees
Atoms (fractional coordinates):
Ac (0.250, 0.750, 0.500)
Ac (0.750, 0.250, 0.500)
La (0.250, 0.250, 0.000)
La (0.750, 0.750, 0.000)
Pm (0.000, 0.000, 0.000)
Pm (0.080, 0.580, 0.916)
Pm (0.163, 0.080, 0.500)
Pm (0.337, 0.837, 0.916)
Pm (0.420, 0.337, 0.500)
Pm (0.500, 0.500, 0.000)
Pm (0.580, 0.663, 0.500)
Pm (0.663, 0.163, 0.084)
Pm (0.837, 0.920, 0.500)
Pm (0.920, 0.420, 0.084)
Sm (0.113, 0.387, 0.500)
Sm (0.387, 0.887, 0.274)
Sm (0.613, 0.113, 0.726)
Sm (0.887, 0.613, 0.500)

space group: I4/mcm (140)
ΔH_f (0 K): 0.256 eV/atom
density of states at the Fermi level: 23.8 states/eV/cell

***

# 9
First-principles (PBE) data for AcLa5Pm2Sm after structural relaxation, as listed in Alexandria.

Cell lengths 8.095, 8.095, 10.420 Å; angles 90.00, 90.00, 90.00 degrees
Atoms (fractional coordinates):
Ac (0.000, 0.000, 0.000)
Ac (0.500, 0.500, 0.000)
La (0.000, 0.000, 0.500)
La (0.199, 0.301, 0.244)
La (0.199, 0.301, 0.756)
La (0.301, 0.801, 0.244)
La (0.301, 0.801, 0.756)
La (0.500, 0.500, 0.500)
La (0.699, 0.199, 0.244)
La (0.699, 0.199, 0.756)
La (0.801, 0.699, 0.244)
La (0.801, 0.699, 0.756)
Pm (0.130, 0.630, 0.500)
Pm (0.370, 0.130, 0.500)
Pm (0.630, 0.870, 0.500)
Pm (0.870, 0.370, 0.500)
Sm (0.000, 0.500, 0.000)
Sm (0.500, 0.000, 0.000)

space group: P4/mbm (127)
ΔH_f (0 K): 0.227 eV/atom
density of states at the Fermi level: 31.7 states/eV/cell

***

# 10
First-principles (PBE) data for AcLa2Pm3Sm6 after structural relaxation, as listed in Alexandria.

Cell lengths 6.402, 6.402, 12.164 Å; angles 95.05, 95.05, 120.04 degrees
Atoms (fractional coordinates):
Ac (0.000, 0.000, 0.000)
La (0.333, 0.667, 0.000)
La (0.667, 0.333, 0.000)
Pm (0.167, 0.833, 0.500)
Pm (0.500, 0.500, 0.500)
Pm (0.833, 0.167, 0.500)
Sm (0.086, 0.420, 0.254)
Sm (0.249, 0.249, 0.746)
Sm (0.420, 0.086, 0.254)
Sm (0.580, 0.914, 0.746)
Sm (0.751, 0.751, 0.254)
Sm (0.914, 0.580, 0.746)

space group: C2/m (12)
ΔH_f (0 K): 0.022 eV/atom
density of states at the Fermi level: 18.4 states/eV/cell

***

# 11
First-principles (PBE) data for AcLa2PmSm4 after structural relaxation, as listed in Alexandria.

Cell lengths 5.255, 5.294, 10.352 Å; angles 90.00, 90.09, 90.00 degrees
Atoms (fractional coordinates):
Ac (0.000, 0.000, 0.000)
La (0.000, 0.000, 0.500)
La (0.500, 0.500, 0.000)
Pm (0.500, 0.500, 0.500)
Sm (0.000, 0.500, 0.256)
Sm (0.000, 0.500, 0.744)
Sm (0.500, 0.000, 0.256)
Sm (0.500, 0.000, 0.744)

space group: P2/m (10)
ΔH_f (0 K): 0.025 eV/atom
density of states at the Fermi level: 12.6 states/eV/cell

***

# 12
First-principles (PBE) data for Ac2La5PmSm after structural relaxation, as listed in Alexandria.

Cell lengths 11.758, 11.758, 10.639 Å; angles 90.00, 90.00, 151.89 degrees
Atoms (fractional coordinates):
Ac (0.115, 0.885, 0.513)
Ac (0.115, 0.885, 0.987)
Ac (0.885, 0.115, 0.013)
Ac (0.885, 0.115, 0.487)
La (0.003, 0.997, 0.250)
La (0.278, 0.722, 0.560)
La (0.278, 0.722, 0.940)
La (0.379, 0.621, 0.250)
La (0.500, 0.500, 0.000)
La (0.500, 0.500, 0.500)
La (0.621, 0.379, 0.750)
La (0.722, 0.278, 0.060)
La (0.722, 0.278, 0.440)
La (0.997, 0.003, 0.750)
Pm (0.218, 0.782, 0.250)
Pm (0.782, 0.218, 0.750)
Sm (0.397, 0.603, 0.750)
Sm (0.603, 0.397, 0.250)

space group: Cmcm (63)
ΔH_f (0 K): 0.098 eV/atom
density of states at the Fermi level: 27.1 states/eV/cell

***

# 13
First-principles (PBE) data for AcLa2Pm6Sm after structural relaxation, as listed in Alexandria.

Cell lengths 9.119, 9.119, 9.996 Å; angles 93.58, 93.58, 118.38 degrees
Atoms (fractional coordinates):
Ac (0.019, 0.981, 0.750)
Ac (0.981, 0.019, 0.250)
La (0.194, 0.308, 0.543)
La (0.308, 0.194, 0.043)
La (0.692, 0.806, 0.957)
La (0.806, 0.692, 0.457)
Pm (0.022, 0.569, 0.688)
Pm (0.126, 0.740, 0.056)
Pm (0.260, 0.874, 0.444)
Pm (0.293, 0.501, 0.882)
Pm (0.431, 0.978, 0.812)
Pm (0.499, 0.707, 0.618)
Pm (0.501, 0.293, 0.382)
Pm (0.569, 0.022, 0.188)
Pm (0.707, 0.499, 0.118)
Pm (0.740, 0.126, 0.556)
Pm (0.874, 0.260, 0.944)
Pm (0.978, 0.431, 0.312)
Sm (0.407, 0.593, 0.250)
Sm (0.593, 0.407, 0.750)

space group: C2/c (15)
ΔH_f (0 K): 0.118 eV/atom
density of states at the Fermi level: 32.1 states/eV/cell

***

# 14
First-principles (PBE) data for Ac2La2PmSm after structural relaxation, as listed in Alexandria.

Cell lengths 7.420, 6.015, 10.346 Å; angles 90.00, 90.00, 90.00 degrees
Atoms (fractional coordinates):
Ac (0.000, 0.000, 0.000)
Ac (0.250, 0.500, 0.172)
Ac (0.500, 0.000, 0.000)
Ac (0.750, 0.500, 0.828)
La (0.250, 0.000, 0.346)
La (0.250, 0.500, 0.824)
La (0.750, 0.000, 0.654)
La (0.750, 0.500, 0.176)
Pm (0.000, 0.500, 0.500)
Pm (0.500, 0.500, 0.500)
Sm (0.250, 0.000, 0.667)
Sm (0.750, 0.000, 0.333)

space group: Pmma (51)
ΔH_f (0 K): 0.066 eV/atom
density of states at the Fermi level: 18.4 states/eV/cell

***

# 15
First-principles (PBE) data for AcLaPm6Sm2 after structural relaxation, as listed in Alexandria.

Cell lengths 9.146, 9.146, 9.919 Å; angles 93.28, 93.28, 118.60 degrees
Atoms (fractional coordinates):
Ac (0.027, 0.973, 0.750)
Ac (0.973, 0.027, 0.250)
La (0.408, 0.592, 0.250)
La (0.592, 0.408, 0.750)
Pm (0.026, 0.562, 0.680)
Pm (0.122, 0.746, 0.056)
Pm (0.254, 0.878, 0.444)
Pm (0.293, 0.504, 0.880)
Pm (0.438, 0.974, 0.820)
Pm (0.496, 0.707, 0.620)
Pm (0.504, 0.293, 0.380)
Pm (0.562, 0.026, 0.180)
Pm (0.707, 0.496, 0.120)
Pm (0.746, 0.122, 0.556)
Pm (0.878, 0.254, 0.944)
Pm (0.974, 0.438, 0.320)
Sm (0.192, 0.306, 0.545)
Sm (0.306, 0.192, 0.045)
Sm (0.694, 0.808, 0.955)
Sm (0.808, 0.694, 0.455)

space group: C2/c (15)
ΔH_f (0 K): 0.119 eV/atom
density of states at the Fermi level: 30.3 states/eV/cell

***

# 16
First-principles (PBE) data for AcLa2Pm6Sm3 after structural relaxation, as listed in Alexandria.

Cell lengths 6.407, 6.407, 12.217 Å; angles 95.05, 95.05, 120.04 degrees
Atoms (fractional coordinates):
Ac (0.000, 0.000, 0.000)
La (0.333, 0.667, 0.000)
La (0.667, 0.333, 0.000)
Pm (0.086, 0.421, 0.255)
Pm (0.249, 0.249, 0.745)
Pm (0.421, 0.086, 0.255)
Pm (0.579, 0.914, 0.745)
Pm (0.751, 0.751, 0.255)
Pm (0.914, 0.579, 0.745)
Sm (0.167, 0.833, 0.500)
Sm (0.500, 0.500, 0.500)
Sm (0.833, 0.167, 0.500)

space group: C2/m (12)
ΔH_f (0 K): 0.023 eV/atom
density of states at the Fermi level: 19.9 states/eV/cell

***

# 17
First-principles (PBE) data for Ac5LaPmSm2 after structural relaxation, as listed in Alexandria.

Cell lengths 11.345, 11.345, 11.262 Å; angles 90.00, 90.00, 149.16 degrees
Atoms (fractional coordinates):
Ac (0.011, 0.989, 0.500)
Ac (0.275, 0.725, 0.808)
Ac (0.299, 0.701, 0.189)
Ac (0.376, 0.624, 0.507)
Ac (0.485, 0.515, 0.230)
Ac (0.515, 0.485, 0.730)
Ac (0.624, 0.376, 0.007)
Ac (0.701, 0.299, 0.689)
Ac (0.725, 0.275, 0.308)
Ac (0.989, 0.011, 0.000)
La (0.408, 0.592, 0.943)
La (0.592, 0.408, 0.443)
Pm (0.191, 0.809, 0.501)
Pm (0.809, 0.191, 0.001)
Sm (0.113, 0.887, 0.790)
Sm (0.116, 0.884, 0.228)
Sm (0.884, 0.116, 0.728)
Sm (0.887, 0.113, 0.290)

space group: Cmc2_1 (36)
ΔH_f (0 K): 0.149 eV/atom
density of states at the Fermi level: 28.9 states/eV/cell

***

# 18
First-principles (PBE) data for Ac2LaPm5Sm after structural relaxation, as listed in Alexandria.

Cell lengths 10.707, 10.707, 11.091 Å; angles 90.00, 90.00, 148.07 degrees
Atoms (fractional coordinates):
Ac (0.114, 0.886, 0.500)
Ac (0.117, 0.883, 0.092)
Ac (0.883, 0.117, 0.592)
Ac (0.886, 0.114, 0.000)
La (0.416, 0.584, 0.231)
La (0.584, 0.416, 0.731)
Pm (0.019, 0.981, 0.797)
Pm (0.284, 0.716, 0.081)
Pm (0.297, 0.703, 0.475)
Pm (0.392, 0.608, 0.792)
Pm (0.482, 0.518, 0.511)
Pm (0.518, 0.482, 0.011)
Pm (0.608, 0.392, 0.292)
Pm (0.703, 0.297, 0.975)
Pm (0.716, 0.284, 0.581)
Pm (0.981, 0.019, 0.297)
Sm (0.208, 0.792, 0.780)
Sm (0.792, 0.208, 0.280)

space group: Cmc2_1 (36)
ΔH_f (0 K): 0.136 eV/atom
density of states at the Fermi level: 26.2 states/eV/cell

***

# 19
First-principles (PBE) data for Ac2LaPm4Sm2 after structural relaxation, as listed in Alexandria.

Cell lengths 9.931, 9.931, 10.023 Å; angles 115.10, 115.10, 21.93 degrees
Atoms (fractional coordinates):
Ac (0.147, 0.147, 0.166)
Ac (0.853, 0.853, 0.834)
La (0.000, 0.000, 0.500)
Pm (0.183, 0.183, 0.831)
Pm (0.482, 0.482, 0.175)
Pm (0.518, 0.518, 0.825)
Pm (0.817, 0.817, 0.169)
Sm (0.333, 0.333, 0.494)
Sm (0.667, 0.667, 0.506)

space group: C2/m (12)
ΔH_f (0 K): 0.031 eV/atom
density of states at the Fermi level: 12.5 states/eV/cell

***

| no. | DFT total energy (eV per atom) |
| --- | --- |
| 1 | -4.453 |
| 2 | -4.126 |
| 3 | -4.612 |
| 4 | -4.235 |
| 5 | -4.644 |
| 6 | -4.637 |
| 7 | -4.333 |
| 8 | -4.435 |
| 9 | -4.547 |
| 10 | -4.689 |
| 11 | -4.674 |
| 12 | -4.605 |
| 13 | -4.600 |
| 14 | -4.525 |
| 15 | -4.579 |
| 16 | -4.696 |
| 17 | -4.258 |
| 18 | -4.488 |
| 19 | -4.590 |